i | The following is a DFT calculation (PBE) of a relaxed structure of AlHgC2.

The volume is 235.8 Å³/cell. Its density of states at the Fermi level is 8.590 states/eV/cell.

The space group is I-42d (No. 122) and the conventional cell measures 4.676, 4.676 and 10.785 Å, with angles of 90.00, 90.00 and 90.00 degrees. The inequivalent atoms are Al at (0.000, 0.000, 0.000), Hg at (0.000, 0.000, 0.500) and C at (0.197, 0.250, 0.125).

ii | The following is a DFT calculation (PBE) of a relaxed structure of AlHgC2.

The volume is 202.1 Å³/cell. Its density of states at the Fermi level is 8.337 states/eV/cell.

The space group is Fm-3m (No. 225) and the conventional cell measures 5.868, 5.868 and 5.868 Å, with angles of 90.00, 90.00 and 90.00 degrees. The inequivalent atoms are Al at (0.000, 0.000, 0.000), Hg at (0.000, 0.000, 0.500) and C at (0.250, 0.250, 0.250).

Which structure is the most stable? The one labeled i.